A geometry-optimized CdAgSe2Br structure. Source: the Alexandria database, functional GGA-PBE.

Values from the calculation:
Formation energy without anion corrections, eV per atom: 0.32
Total energy, Ha/atom: -0.0793
Energy above the most stable polymorph in this dataset, eV per atom: 0.000

Cell lengths 5.1448, 5.1448, 5.1967 Å; angles 90.00, 90.00, 90.00 degrees
Space group P4/mmm (No. 123)
Asymmetric unit:
Cd 0.0000 0.0000 0.0000
Ag 0.5000 0.5000 0.5000
Se 0.0000 0.5000 0.5000
Br 0.5000 0.5000 0.0000

---

A geometry-optimized GdMgCd structure. Source: the Alexandria database, functional GGA-PBE.

Values from the calculation:
Total energy, Ha/atom: -0.2119
Calculated formation energy, eV/atom: -0.2364

Cell lengths 5.0569, 5.0569, 3.4451 Å; angles 90.00, 90.00, 120.00 degrees
Space group P3m1 (No. 156)
Asymmetric unit:
Gd 0.0000 0.0000 0.0000
Mg 0.6667 0.3333 0.5008
Cd 0.3333 0.6667 0.4989

---

A geometry-optimized Mg4Cd5In2 structure. Source: the Alexandria database, functional GGA-PBE.

Values from the calculation:
Total energy, Ha/atom: -0.0547
Calculated formation energy, eV/atom: 0.0042
Energy above the most stable polymorph in this dataset, eV per atom: 0.050

Cell lengths 5.1756, 7.4237, 7.7062 Å; angles 76.99, 81.27, 70.29 degrees
Space group P-1 (No. 2)
Asymmetric unit:
Mg 0.0456 0.1027 0.2952
Mg 0.3134 0.4553 0.8722
Cd 0.1002 0.7689 0.0762
Cd 0.2155 0.6092 0.4645
Cd 0.5000 0.0000 0.0000
In 0.3659 0.1613 0.6020

---

A geometry-optimized Tm6Tl2Cd structure. Source: the Alexandria database, functional GGA-PBE.

Values from the calculation:
Total energy, Ha/atom: -0.1318
Calculated formation energy, eV/atom: 0.0233

Cell lengths 5.1098, 7.2013, 15.3244 Å; angles 90.00, 90.00, 90.00 degrees
Space group Immm (No. 71)
Asymmetric unit:
Tm 0.0000 0.2434 0.0000
Tm 0.0000 0.2532 0.3352
Tl 0.0000 0.5000 0.1669
Cd 0.0000 0.5000 0.5000

---

A geometry-optimized AlRe2Ru2 structure. Source: the Alexandria database, functional GGA-PBE.

Values from the calculation:
Total energy, Ha/atom: -0.3300
Calculated formation energy, eV/atom: 0.4582

Cell lengths 3.9161, 3.9161, 11.1243 Å; angles 90.00, 90.00, 90.00 degrees
Space group I4/mmm (No. 139)
Asymmetric unit:
Al 0.0000 0.0000 0.0000
Re 0.0000 0.0000 0.3927
Ru 0.0000 0.5000 0.2500

---

A geometry-optimized Y2InTe2 structure. Source: the Alexandria database, functional GGA-PBE.

Values from the calculation:
Formation energy without anion corrections, eV per atom: -0.89
Total energy, Ha/atom: -0.1942
Energy above the most stable polymorph in this dataset, eV per atom: 0.000

Cell lengths 8.4415, 8.4415, 4.0390 Å; angles 90.00, 90.00, 90.00 degrees
Space group P4/mbm (No. 127)
Asymmetric unit:
Y 0.1549 0.3451 0.0000
In 0.0000 0.0000 0.0000
Te 0.1459 0.6459 0.5000